Material: LiGa6Ge3
Method: DFT, PBE
State: optimized geometry

Unit cell a=2.872 b=9.794 c=9.794 alpha=119.06 beta=95.61 gamma=95.61
Atoms (fractional coordinates):
Ge (0.017, 0.500, 0.000)
Ga (0.518, 0.000, 0.267)
Ga (0.518, 0.267, 0.000)
Ga (0.781, 0.267, 0.267)
Ge (0.017, 0.000, 0.500)
Ge (0.517, 0.500, 0.500)
Ga (0.514, 0.733, 0.000)
Ga (0.251, 0.733, 0.733)
Li (0.015, 0.000, 0.000)
Ga (0.514, 0.000, 0.733)

Values from the calculation:
- M_tot: 0.0000 μB per atom
- E_form: 216 meV/atom
- Electronic total energy: -3.176 eV per atom

Material: LiGaGe
Method: DFT, PBE
State: optimized geometry

Unit cell a=4.229 b=4.229 c=6.854 alpha=90.00 beta=90.00 gamma=120.00
Atoms (fractional coordinates):
Ga (0.333, 0.667, 0.055)
Li (0.000, 0.000, 0.756)
Ga (0.667, 0.333, 0.555)
Li (0.000, 0.000, 0.256)
Ge (0.667, 0.333, 0.940)
Ge (0.333, 0.667, 0.440)

Values from the calculation:
- M_tot: 0.0000 μB per atom
- E_form: -238 meV/atom
- Electronic total energy: -3.424 eV per atom

Material: LiGaGe
Method: DFT, PBE
State: optimized geometry

Unit cell a=4.601 b=4.601 c=5.668 alpha=90.00 beta=90.00 gamma=120.00
Atoms (fractional coordinates):
Ge (0.333, 0.667, 0.750)
Ge (0.667, 0.333, 0.250)
Li (0.000, 0.000, 0.500)
Li (0.000, 0.000, 0.000)
Ga (0.333, 0.667, 0.250)
Ga (0.667, 0.333, 0.750)

Values from the calculation:
- M_tot: 0.0000 μB per atom
- E_form: -139 meV/atom
- Electronic total energy: -3.325 eV per atom

Material: Li8Ga6Ge
Method: DFT, PBE
State: optimized geometry

Unit cell a=7.428 b=7.428 c=6.964 alpha=57.77 beta=57.77 gamma=60.00
Atoms (fractional coordinates):
Li (0.861, 0.158, 0.624)
Ga (0.574, 0.011, 0.125)
Ga (0.426, 0.989, 0.875)
Li (0.139, 0.842, 0.376)
Li (0.842, 0.644, 0.376)
Li (0.356, 0.861, 0.624)
Li (0.158, 0.356, 0.624)
Li (0.644, 0.139, 0.376)
Ga (0.011, 0.290, 0.125)
Li (0.597, 0.597, 0.210)
Ge (0.000, 0.000, 0.000)
Li (0.403, 0.403, 0.790)
Ga (0.989, 0.710, 0.875)
Ga (0.290, 0.574, 0.125)
Ga (0.710, 0.426, 0.875)

Values from the calculation:
- M_tot: 0.0000 μB per atom
- E_form: -216 meV/atom
- Electronic total energy: -2.755 eV per atom

Among the records above, which one has the highest E_form? LiGa6Ge3

Among the records above, which one has the highest electronic total energy? Li8Ga6Ge

Which of these has the lowest E_form? number 2

Which formula does entry 3 have? LiGaGe